Record 1
A PBEsol-optimized structure of Fe2AgH2, computed with SCAN.

Computed properties:
As for the space group: I4/mmm (139). For the total energy, the calculation gives -14.677 eV per atom.

abc: 3.3603 3.3603 4.9155
angles: 109.99 109.99 90.00
Each line ends with the local moment (μB).
Fractional positions:
1 H 0.3274 0.3274 0.6548  -0.03
2 H 0.6726 0.6726 0.3452  -0.03
3 Fe 0.2500 0.7500 0.5000  2.68
4 Fe 0.7500 0.2500 0.5000  2.68
5 Ag 0.0000 0.0000 0.0000  -0.03

---

Record 2
A PBEsol-optimized structure of LiFeAg2H, computed with SCAN.

Computed properties:
As for the space group: P4/mmm (123). For the total energy, the calculation gives -17.172 eV per atom.

abc: 3.1345 4.4317 4.4317
angles: 90.00 90.00 90.00
Each line ends with the local moment (μB).
Fractional positions:
1 H 0.0000 0.0000 0.0000  -0.03
2 Fe 0.5000 0.0000 0.0000  2.58
3 Ag 0.0000 0.0000 0.5000  -0.04
4 Ag 0.0000 0.5000 0.0000  -0.04
5 Li 0.5000 0.5000 0.5000  -0.01

---

Record 3
A PBEsol-optimized structure of FeAgMoH2, computed with SCAN.

Computed properties:
As for the space group: P4/mmm (123). For the total energy, the calculation gives -17.170 eV per atom.

abc: 3.3370 3.3370 5.5487
angles: 90.00 90.00 90.00
Each line ends with the local moment (μB).
Fractional positions:
1 H 0.0000 0.5000 0.0000  0.00
2 H 0.5000 0.0000 0.0000  0.00
3 Mo 0.0000 0.0000 0.5000  -0.76
4 Fe 0.5000 0.5000 0.5000  1.93
5 Ag 0.0000 0.0000 0.0000  0.01

---

Record 4
A PBEsol-optimized structure of SrFe2AgH, computed with SCAN.

Computed properties:
As for the space group: P4/mmm (123). For the total energy, the calculation gives -17.583 eV per atom.

abc: 4.6861 4.6861 5.9670
angles: 90.00 90.00 90.00
Each line ends with the local moment (μB).
Fractional positions:
1 Sr 0.0000 0.0000 0.5000  -0.07
2 Fe 0.0000 0.5000 0.0000  3.29
3 Fe 0.5000 0.0000 0.0000  3.29
4 Ag 0.0000 0.0000 0.0000  0.04
5 H 0.5000 0.5000 0.5000  0.02

---

Record 5
A PBEsol-optimized structure of HfFeAg2, computed with SCAN.

Computed properties:
As for the space group: Fm-3m (225). As for the formation energy: 0.219 eV per atom.

abc: 4.5376 4.5376 4.5376
angles: 60.00 60.00 60.00
Each line ends with the local moment (μB).
Fractional positions:
1 Hf 0.5000 0.5000 0.5000  -0.25
2 Fe 0.0000 0.0000 0.0000  2.99
3 Ag 0.2500 0.2500 0.2500  -0.05
4 Ag 0.7500 0.7500 0.7500  -0.05

---

Record 6
A PBEsol-optimized structure of HfFeAg2Pt, computed with SCAN.

Computed properties:
As for the space group: P4/mmm (123). As for the formation energy: 0.998 eV per atom.

abc: 4.5130 4.8859 4.8859
angles: 90.00 90.00 90.00
Each line ends with the local moment (μB).
Fractional positions:
1 Hf 0.5000 0.5000 0.5000  -0.71
2 Ag 0.0000 0.0000 0.5000  -0.01
3 Ag 0.0000 0.5000 0.0000  -0.01
4 Pt 0.0000 0.0000 0.0000  0.21
5 Fe 0.5000 0.0000 0.0000  3.25

---

Record 7
A PBEsol-optimized structure of HfFeAg2Sb, computed with SCAN.

Computed properties:
As for the space group: P4/mmm (123). The formation energy without anion corrections comes out at 1254 meV/atom.

abc: 4.4052 5.1283 5.1283
angles: 90.00 90.00 90.00
Each line ends with the local moment (μB).
Fractional positions:
1 Sb 0.5000 0.5000 0.5000  0.00
2 Hf 0.0000 0.0000 0.0000  -0.56
3 Fe 0.5000 0.0000 0.0000  2.30
4 Ag 0.0000 0.0000 0.5000  -0.05
5 Ag 0.0000 0.5000 0.0000  -0.05

---

Record 8
A PBEsol-optimized structure of SrHfFe2Ag, computed with SCAN.

Computed properties:
As for the space group: P4/mmm (123). As for the formation energy: 1.299 eV per atom.

abc: 4.8103 4.8103 5.1557
angles: 90.00 90.00 90.00
Each line ends with the local moment (μB).
Fractional positions:
1 Sr 0.0000 0.0000 0.5000  -0.08
2 Hf 0.5000 0.5000 0.5000  -0.91
3 Fe 0.0000 0.5000 0.0000  3.20
4 Fe 0.5000 0.0000 0.0000  3.20
5 Ag 0.0000 0.0000 0.0000  0.01